! LaPrCr2O6 (PBE+U, optimized geometry); values from VASP
&SYSTEM
  ibrav = 0, nat = 20, ntyp = 4
/
ATOMIC_SPECIES
La 138.91 La.upf
O 16.00 O.upf
Pr 140.91 Pr.upf
Cr 52.00 Cr.upf
CELL_PARAMETERS angstrom
5.540 0.000 0.000
0.000 5.620 0.000
0.000 0.000 7.867
ATOMIC_POSITIONS angstrom
La 1.336 2.586 3.934
La 4.204 5.396 3.934
O 2.986 4.431 6.267
O 1.833 0.112 3.934
O 2.554 1.621 1.600
O 0.911 5.494 0.000
O 5.311 1.175 2.302
O 2.554 1.621 6.267
O 3.707 2.922 3.934
O 2.986 4.431 1.600
O 0.229 3.985 5.565
O 0.229 3.985 2.302
O 4.629 2.684 0.000
O 5.311 1.175 5.565
Pr 4.093 0.259 0.000
Pr 1.447 3.069 0.000
Cr 1.381 0.002 1.958
Cr 4.159 2.812 5.909
Cr 4.159 2.812 1.958
Cr 1.381 0.002 5.909
! uncorrected energy: -81.95 eV per formula unit